# GdSc2F

GdSc2F after structural relaxation (PBE, Alexandria).

Results
Total DFT energy (no corrections), eV/atom: -8.2073

```
data_GdSc2F
_symmetry_space_group_name_H-M 'R -3 m'
_symmetry_Int_Tables_number 166
_symmetry_space_group_name_Hall '-R 3 2"'
_cell_length_a 3.4429
_cell_length_b 3.4429
_cell_length_c 24.5601
_cell_angle_alpha 90.00
_cell_angle_beta 90.00
_cell_angle_gamma 120.00
loop_
_atom_site_label
_atom_site_type_symbol
_atom_site_fract_x
_atom_site_fract_y
_atom_site_fract_z
_atom_site_occupancy
Gd1 Gd 0.0000 0.0000 0.0000 1
Sc1 Sc 0.0000 0.0000 0.2221 1
F1 F 0.0000 0.0000 0.5000 1
```